# 1
! Zn2AsCl PBE-GGA optimized geometry; values from VASP
&SYSTEM
  ibrav = 0, nat = 4, ntyp = 3
/
ATOMIC_SPECIES
Cl 35.45 Cl.upf
Zn 65.41 Zn.upf
As 74.92 As.upf
CELL_PARAMETERS angstrom
5.354 0.000 0.000
0.000 4.325 0.480
0.000 1.605 4.050
ATOMIC_POSITIONS crystal
Cl 0.500 0.939 0.939
Zn 0.500 0.280 0.281
Zn 0.000 0.970 0.969
As 0.000 0.312 0.311
! * E_tot: -2.56 eV/atom
! * ΔE_f (raw): -0.30 eV per atom
! * symmetry: No. 38

# 2
! Zn2AsCl PBE-GGA optimized geometry; values from VASP
&SYSTEM
  ibrav = 0, nat = 4, ntyp = 3
/
ATOMIC_SPECIES
Cl 35.45 Cl.upf
As 74.92 As.upf
Zn 65.41 Zn.upf
CELL_PARAMETERS angstrom
3.267 0.000 0.000
0.000 3.266 0.000
0.000 0.000 7.046
ATOMIC_POSITIONS crystal
Cl 0.500 0.500 0.750
As 0.500 0.500 0.250
Zn 0.000 0.000 0.474
Zn 0.000 0.000 0.026
! * E_tot: -2.25 eV/atom
! * ΔE_f (raw): 0.01 eV per atom
! * symmetry: No. 123

# 3
! ZnAs2Cl PBE-GGA optimized geometry; values from VASP
&SYSTEM
  ibrav = 0, nat = 4, ntyp = 3
/
ATOMIC_SPECIES
As 74.92 As.upf
Zn 65.41 Zn.upf
Cl 35.45 Cl.upf
CELL_PARAMETERS angstrom
6.879 -0.610 -0.362
6.123 3.193 -0.362
6.123 1.216 2.974
ATOMIC_POSITIONS crystal
As 0.477 0.477 0.477
As 0.023 0.023 0.023
Zn 0.750 0.750 0.750
Cl 0.250 0.250 0.250
! * E_tot: -3.01 eV/atom
! * ΔE_f (raw): 0.10 eV per atom
! * symmetry: No. 166

# 4
! ZnAs2Cl PBE-GGA optimized geometry; values from VASP
&SYSTEM
  ibrav = 0, nat = 4, ntyp = 3
/
ATOMIC_SPECIES
As 74.92 As.upf
Zn 65.41 Zn.upf
Cl 35.45 Cl.upf
CELL_PARAMETERS angstrom
4.708 0.022 0.012
-1.483 4.469 0.012
1.600 2.228 3.824
ATOMIC_POSITIONS crystal
As 0.500 0.500 0.000
As 0.000 0.000 0.000
Zn 0.000 0.500 0.500
Cl 0.500 0.000 0.500
! * E_tot: -3.01 eV/atom
! * ΔE_f (raw): 0.10 eV per atom
! * symmetry: No. 139

# 5
! ZnAs2Cl PBE-GGA optimized geometry; values from VASP
&SYSTEM
  ibrav = 0, nat = 4, ntyp = 3
/
ATOMIC_SPECIES
As 74.92 As.upf
Cl 35.45 Cl.upf
Zn 65.41 Zn.upf
CELL_PARAMETERS angstrom
3.714 0.000 0.000
0.000 5.126 0.079
0.000 2.326 4.570
ATOMIC_POSITIONS crystal
As 0.000 0.011 0.012
As 0.500 0.206 0.206
Cl 0.000 0.522 0.522
Zn 0.500 0.761 0.760
! * E_tot: -3.19 eV/atom
! * ΔE_f (raw): -0.09 eV per atom
! * symmetry: No. 38

# 6
! Zn2AsCl PBE-GGA optimized geometry; values from VASP
&SYSTEM
  ibrav = 0, nat = 4, ntyp = 3
/
ATOMIC_SPECIES
Cl 35.45 Cl.upf
As 74.92 As.upf
Zn 65.41 Zn.upf
CELL_PARAMETERS angstrom
5.431 0.051 0.012
0.572 5.401 0.012
1.217 1.105 2.791
ATOMIC_POSITIONS crystal
Cl 0.000 0.500 0.500
As 0.500 0.000 0.500
Zn 0.500 0.500 0.000
Zn 0.000 0.000 0.000
! * E_tot: -2.42 eV/atom
! * ΔE_f (raw): -0.16 eV per atom
! * symmetry: No. 12

# 7
! ZnAs2Cl PBE-GGA optimized geometry; values from VASP
&SYSTEM
  ibrav = 0, nat = 4, ntyp = 3
/
ATOMIC_SPECIES
As 74.92 As.upf
Cl 35.45 Cl.upf
Zn 65.41 Zn.upf
CELL_PARAMETERS angstrom
8.853 0.106 0.063
8.063 3.658 0.063
8.063 1.794 3.188
ATOMIC_POSITIONS crystal
As 0.284 0.284 0.284
As 0.006 0.006 0.006
Cl 0.465 0.465 0.465
Zn 0.746 0.746 0.746
! * E_tot: -3.38 eV/atom
! * ΔE_f (raw): -0.27 eV per atom
! * symmetry: No. 160

# 8
! Zn2AsCl PBE-GGA optimized geometry; values from VASP
&SYSTEM
  ibrav = 0, nat = 4, ntyp = 3
/
ATOMIC_SPECIES
As 74.92 As.upf
Cl 35.45 Cl.upf
Zn 65.41 Zn.upf
CELL_PARAMETERS angstrom
-4.865 -5.266 -0.404
-2.897 -4.247 -5.013
5.721 3.026 3.111
ATOMIC_POSITIONS crystal
As 0.500 0.500 0.000
Cl 0.750 0.250 0.500
Zn 0.000 0.000 0.000
Zn 0.250 0.750 0.500
! * E_tot: -2.19 eV/atom
! * ΔE_f (raw): 0.07 eV per atom
! * symmetry: No. 119

Q: ΔE_f (raw) of number 1 (Zn2AsCl)?
A: -0.30 eV per atom

Q: The highest E_tot belongs to which entry?
A: number 8

Q: The lowest E_tot belongs to which entry?
A: number 7